1.
The following is a DFT calculation (PBE-GGA) of a relaxed Li2In7Sn2 crystal.

Structure (POSCAR):
```
Li2In7Sn2
1.0
5.587 -0.346 -1.284
-1.940 7.011 -1.658
-0.262 0.310 7.450
Li In Sn
2 7 2
Cartesian
-0.561 1.506 5.825
-1.641 5.815 -0.032
1.889 6.391 0.711
0.643 3.987 -0.828
1.496 0.584 3.797
2.741 2.988 5.337
2.793 -0.173 -0.642
0.381 4.331 3.116
3.003 2.644 1.392
-0.018 1.765 1.302
3.403 5.211 3.207
```

Computed properties:
ΔE_f: -0.029 eV/atom
spin magnetization: 0.00 μB/f.u.

2.
The following is a DFT calculation (PBE-GGA) of a relaxed Li2In5Sn crystal.

Structure (POSCAR):
```
Li2In5Sn
1.0
-3.303 -2.693 1.836
4.387 -4.778 0.884
2.654 4.554 11.453
Li In Sn
4 10 2
Cartesian
1.053 0.341 8.259
2.684 -3.258 5.915
-0.186 -2.031 2.549
3.924 -0.886 11.624
0.000 0.000 0.000
3.520 -0.112 6.169
4.129 1.073 9.000
2.912 -1.297 3.338
0.709 1.075 2.851
6.332 -1.299 9.486
1.729 1.470 11.130
2.009 -4.387 3.044
0.468 -0.879 5.416
3.270 -2.038 8.757
1.327 2.277 5.727
2.193 -2.389 0.442
```

Computed properties:
ΔE_f: -0.137 eV/atom
spin magnetization: 0.00 μB/f.u.

3.
The following is a DFT calculation (PBE-GGA) of a relaxed Li3In3Sn crystal.

Structure (POSCAR):
```
Li3In3Sn
1.0
4.557 0.000 0.000
0.000 12.660 0.000
0.000 0.000 10.571
Li In Sn
12 12 4
Cartesian
3.418 8.899 7.587
1.139 10.091 2.302
1.139 3.761 2.984
3.418 2.569 8.269
3.418 0.951 10.355
1.139 5.379 5.070
1.139 11.709 0.216
3.418 7.281 5.502
3.418 0.180 6.526
1.139 6.150 1.240
1.139 12.480 4.046
3.418 6.510 9.331
3.418 11.066 9.193
1.139 7.924 3.908
1.139 1.594 1.378
3.418 4.736 6.663
3.418 10.187 4.605
1.139 8.803 9.891
1.139 2.473 5.966
3.418 3.857 0.680
3.418 8.329 1.462
1.139 10.661 6.747
1.139 4.331 9.109
3.418 1.999 3.824
3.418 11.822 2.027
1.139 7.168 7.313
1.139 0.838 8.544
3.418 5.492 3.259
```

Computed properties:
ΔE_f: -0.188 eV/atom
spin magnetization: 0.00 μB/f.u.

4.
The following is a DFT calculation (PBE-GGA) of a relaxed Li5In2Sn5 crystal.

Structure (POSCAR):
```
Li5In2Sn5
1.0
-2.636 -3.034 1.934
4.167 2.477 4.422
-8.129 6.594 -0.737
Li In Sn
5 2 5
Cartesian
-5.383 1.780 0.598
-0.428 -1.210 2.663
-2.764 0.172 1.645
-3.834 5.865 3.973
-6.171 7.247 2.956
-5.577 5.119 0.428
-1.021 0.918 5.191
-2.775 3.306 1.403
-6.263 4.196 3.188
-0.336 1.841 2.430
-3.823 2.731 4.215
0.000 0.000 0.000
```

Computed properties:
ΔE_f: -0.211 eV/atom
spin magnetization: 0.00 μB/f.u.

5.
The following is a DFT calculation (PBE-GGA) of a relaxed Li5InSn crystal.

Structure (POSCAR):
```
Li5InSn
1.0
-0.885 -6.207 -3.598
4.328 -5.474 -1.883
0.237 -9.830 3.478
Li In Sn
10 2 2
Cartesian
2.590 -9.385 -4.145
1.327 -10.083 0.296
2.871 -14.278 -2.353
3.220 -8.096 -1.398
2.486 -16.342 -0.555
1.194 -5.170 -1.448
0.461 -13.416 -0.605
0.810 -7.234 0.350
2.353 -11.429 -2.299
1.090 -12.126 2.142
0.758 -8.442 -2.208
2.923 -13.070 0.204
0.000 0.000 0.000
0.119 -4.915 1.739
```

Computed properties:
ΔE_f: -0.220 eV/atom
spin magnetization: 0.00 μB/f.u.

6.
The following is a DFT calculation (PBE-GGA) of a relaxed Li2InSn2 crystal.

Structure (POSCAR):
```
Li2InSn2
1.0
8.316 0.000 0.000
0.000 8.316 0.000
0.000 0.000 3.279
Li Sn In
4 4 2
Cartesian
1.471 5.629 1.639
5.629 6.846 1.639
6.846 2.687 1.639
2.687 1.471 1.639
3.121 7.279 0.000
7.279 5.196 0.000
5.196 1.037 0.000
1.037 3.121 0.000
0.000 0.000 0.000
4.158 4.158 0.000
```

Computed properties:
ΔE_f: -0.215 eV/atom
spin magnetization: 0.00 μB/f.u.

7.
The following is a DFT calculation (PBE-GGA) of a relaxed Li2InSn crystal.

Structure (POSCAR):
```
Li2InSn
1.0
0.000 3.414 3.414
3.414 0.000 3.414
3.414 3.414 0.000
Li Sn In
2 1 1
Cartesian
1.707 1.707 1.707
5.121 5.121 5.121
3.414 3.414 3.414
0.000 0.000 0.000
```

Computed properties:
ΔE_f: -0.308 eV/atom
spin magnetization: 0.00 μB/f.u.

8.
The following is a DFT calculation (PBE-GGA) of a relaxed Li2In3Sn3 crystal.

Structure (POSCAR):
```
Li2In3Sn3
1.0
-2.113 -3.200 2.771
-2.161 -1.705 -3.617
6.826 -5.709 -1.386
Li In Sn
2 3 3
Cartesian
5.126 -4.287 -1.041
1.700 -1.422 -0.345
2.990 -6.740 -1.464
-0.438 -3.874 -0.768
-1.057 -1.600 1.386
2.356 -4.454 0.692
-1.080 -0.853 -1.808
2.333 -3.707 -2.502
```

Computed properties:
ΔE_f: -0.140 eV/atom
spin magnetization: 0.00 μB/f.u.

9.
The following is a DFT calculation (PBE-GGA) of a relaxed Li8In3Sn3 crystal.

Structure (POSCAR):
```
Li8In3Sn3
1.0
4.614 0.000 0.927
1.619 7.520 3.888
0.676 0.510 8.578
Li In Sn
8 3 3
Cartesian
3.507 1.131 6.432
3.401 6.899 6.961
4.003 4.816 3.967
2.906 3.214 9.425
5.456 6.643 8.679
1.453 1.387 4.714
5.168 4.499 10.113
1.741 3.531 3.280
2.307 0.000 0.464
1.391 5.829 5.020
0.904 2.201 7.446
3.454 4.015 6.696
4.137 1.649 3.297
2.771 6.381 10.096
```

Computed properties:
ΔE_f: -0.167 eV/atom
spin magnetization: 0.00 μB/f.u.

10.
The following is a DFT calculation (PBE-GGA) of a relaxed LiInSn2 crystal.

Structure (POSCAR):
```
LiInSn2
1.0
8.161 0.000 0.000
0.000 8.161 0.000
4.081 4.081 3.094
Li Sn In
2 4 2
Cartesian
4.081 4.081 0.000
4.081 8.161 1.547
6.067 2.040 0.774
2.094 6.121 0.774
6.121 6.175 2.321
10.202 10.148 2.321
0.000 0.000 0.000
8.161 4.081 1.547
```

Computed properties:
ΔE_f: 0.021 eV/atom
spin magnetization: 0.00 μB/f.u.

11.
The following is a DFT calculation (PBE-GGA) of a relaxed Li6In2Sn crystal.

Structure (POSCAR):
```
Li6In2Sn
1.0
-1.283 -2.318 -4.813
-6.481 -3.543 3.434
1.236 4.918 -2.254
Li In Sn
6 2 1
Cartesian
-3.042 -0.512 0.171
-1.326 0.750 -4.948
-3.486 -0.430 -3.803
-1.716 -1.746 -1.837
-5.202 -1.693 1.315
-6.049 -4.115 0.459
-4.748 -2.275 -1.648
-1.780 1.332 -1.985
0.000 0.000 0.000
```

Computed properties:
ΔE_f: -0.303 eV/atom
spin magnetization: 0.00 μB/f.u.

12.
The following is a DFT calculation (PBE-GGA) of a relaxed LiInSn2 crystal.

Structure (POSCAR):
```
LiInSn2
1.0
-0.001 1.487 -3.050
-2.328 -0.870 -2.311
-7.383 7.910 1.970
Li Sn In
1 2 1
Cartesian
0.000 0.000 0.000
-5.668 5.910 0.995
-4.044 2.617 -4.386
-4.856 4.263 -1.695
```

Computed properties:
ΔE_f: 0.042 eV/atom
spin magnetization: 0.00 μB/f.u.

13.
The following is a DFT calculation (PBE-GGA) of a relaxed Sr2LiIn4Sn3 crystal.

Structure (POSCAR):
```
Sr2LiIn4Sn3
1.0
-2.246 0.742 -4.111
0.396 -4.609 -1.048
-11.610 -2.345 5.921
Sr Li In Sn
2 1 4 3
Cartesian
-4.053 -0.221 -0.561
-8.482 -4.058 3.902
-6.730 -3.106 0.381
-0.925 -1.934 -2.580
0.000 0.000 0.000
-8.461 -1.111 1.686
-4.074 -3.167 1.655
-5.805 -1.173 2.960
-11.023 -1.629 2.993
-1.513 -2.650 0.348
```

Computed properties:
ΔE_f: -0.278 eV/atom
spin magnetization: 0.00 μB/f.u.

14.
The following is a DFT calculation (PBE-GGA) of a relaxed SrLiInSn2 crystal.

Structure (POSCAR):
```
SrLiInSn2
1.0
4.690 0.000 0.000
0.000 4.690 0.000
-2.345 -2.345 6.428
Sr Li In Sn
1 1 1 2
Cartesian
0.000 0.000 0.000
0.000 2.345 3.214
2.345 0.000 3.214
2.345 2.345 1.447
0.000 0.000 4.981
```

Computed properties:
ΔE_f: -0.416 eV/atom
spin magnetization: 0.00 μB/f.u.

15.
The following is a DFT calculation (PBE-GGA) of a relaxed SrLiInSn crystal.

Structure (POSCAR):
```
SrLiInSn
1.0
4.723 0.000 0.000
-2.362 4.085 -0.001
0.000 -2.725 5.934
Sr Li In Sn
1 1 1 1
Cartesian
2.362 -0.388 2.866
2.362 2.335 0.319
0.000 0.975 0.516
0.000 0.973 5.004
```

Computed properties:
ΔE_f: -0.404 eV/atom
spin magnetization: 0.00 μB/f.u.

16.
The following is a DFT calculation (PBE-GGA) of a relaxed LiTaInSn2 crystal.

Structure (POSCAR):
```
LiTaInSn2
1.0
-4.236 1.485 2.970
-3.261 -3.023 -3.140
0.793 -4.222 3.242
In Li Sn Ta
1 1 2 1
Cartesian
-1.631 -1.512 -1.570
-3.352 -2.881 1.536
0.396 -2.111 1.621
-2.118 0.742 1.485
0.000 0.000 0.000
```

Computed properties:
ΔE_f: 0.299 eV/atom
spin magnetization: 0.00 μB/f.u.

17.
The following is a DFT calculation (PBE-GGA) of a relaxed LiTbInSn crystal.

Structure (POSCAR):
```
LiTbInSn
1.0
-2.080 -1.672 3.551
2.306 -3.868 -0.470
3.383 1.680 2.773
Li Tb In Sn
1 1 1 1
Cartesian
0.651 0.004 3.162
0.113 -2.770 1.540
2.845 -1.094 1.152
0.000 0.000 0.000
```

Computed properties:
ΔE_f: -0.509 eV/atom
spin magnetization: 0.00 μB/f.u.

18.
The following is a DFT calculation (PBE-GGA) of a relaxed LiTbInSn crystal.

Structure (POSCAR):
```
LiTbInSn
1.0
5.169 0.000 0.000
2.584 4.476 0.000
2.584 1.492 4.220
Li Tb Sn In
1 1 1 1
Cartesian
2.584 1.492 1.055
7.753 4.476 3.165
5.169 2.984 2.110
0.000 0.000 0.000
```

Computed properties:
ΔE_f: -0.403 eV/atom
spin magnetization: 0.00 μB/f.u.

19.
The following is a DFT calculation (PBE-GGA) of a relaxed LiInSn2Te4 crystal.

Structure (POSCAR):
```
LiInSn2Te4
1.0
-1.017 -3.770 -2.086
-1.016 -3.404 6.649
-7.253 0.801 2.089
Li In Sn Te
1 1 2 4
Cartesian
-4.134 -1.302 4.369
-1.016 -3.587 2.282
-7.253 0.801 2.089
-4.135 -1.485 0.002
-6.158 -1.918 6.470
-3.128 -4.456 0.183
-3.127 -4.186 4.393
-6.159 -2.188 2.259
```

Computed properties:
energy relative to the elements, uncorrected: -3.2 eV/f.u.
spin magnetization: 0.00 μB/f.u.

20.
The following is a DFT calculation (PBE-GGA) of a relaxed LiThInSn crystal.

Structure (POSCAR):
```
LiThInSn
1.0
4.559 0.000 0.000
0.000 4.658 0.000
0.000 0.000 4.816
Li Th In Sn
1 1 1 1
Cartesian
2.280 0.000 2.408
2.280 2.329 0.000
0.000 2.329 2.408
0.000 0.000 0.000
```

Computed properties:
ΔE_f: -0.365 eV/atom
spin magnetization: 0.00 μB/f.u.

Quick rundown of Fermi-level density of states, same order as above: 5.0; 2.5; 2.6; 4.4; 1.1; 1.7; 1.4; 4.3; 3.5; 2.8; 2.4; 1.7; 7.6; 2.4; 1.1; 2.1; 1.5; 2.3; 3.2; 2.3 states/eV/f.u.